! Hf6Ga2Pt | Alexandria via LeMat-Bulk | GGA-PBE | relaxed; values from VASP
&SYSTEM
  ibrav = 0, nat = 18, ntyp = 3
/
ATOMIC_SPECIES
Hf 178.49 Hf.upf
Ga 69.72 Ga.upf
Pt 195.08 Pt.upf
ATOMIC_POSITIONS crystal
Hf 0.021 0.169 0.430
Hf 0.021 0.331 0.930
Hf 0.361 0.677 0.435
Hf 0.361 0.823 0.935
Hf 0.405 0.025 0.310
Hf 0.405 0.475 0.810
Hf 0.595 0.525 0.190
Hf 0.595 0.975 0.690
Hf 0.639 0.177 0.065
Hf 0.639 0.323 0.565
Hf 0.979 0.669 0.070
Hf 0.979 0.831 0.570
Ga 0.170 0.128 0.750
Ga 0.170 0.372 0.250
Ga 0.830 0.628 0.750
Ga 0.830 0.872 0.250
Pt 0.000 0.000 0.000
Pt 0.000 0.500 0.500
CELL_PARAMETERS angstrom
5.334 0.000 0.000
0.000 7.898 0.000
-4.885 0.000 8.720
! - Symmetry: P2_1/c
! - Volume: 20.41 Å³/atom
! - E_tot: -8.301 eV/atom

! K2PaAg2Te4 | Alexandria via LeMat-Bulk | GGA-PBE | relaxed; values from VASP
&SYSTEM
  ibrav = 0, nat = 9, ntyp = 4
/
ATOMIC_SPECIES
K 39.10 K.upf
Pa 231.04 Pa.upf
Ag 107.87 Ag.upf
Te 127.60 Te.upf
ATOMIC_POSITIONS crystal
K 0.135 0.135 0.077
K 0.865 0.865 0.923
Pa 0.000 0.000 0.500
Ag 0.318 0.318 0.513
Ag 0.682 0.682 0.487
Te 0.197 0.197 0.702
Te 0.489 0.489 0.746
Te 0.511 0.511 0.254
Te 0.803 0.803 0.298
CELL_PARAMETERS angstrom
8.186 -2.252 0.000
8.186 2.252 0.000
-2.925 0.000 8.016
! - Symmetry: C2/m
! - Volume: 32.84 Å³/atom
! - E_tot: -4.093 eV/atom

! LaTmCdSn | Alexandria via LeMat-Bulk | GGA-PBE | relaxed; values from VASP
&SYSTEM
  ibrav = 0, nat = 4, ntyp = 4
/
ATOMIC_SPECIES
La 138.91 La.upf
Tm 168.93 Tm.upf
Cd 112.41 Cd.upf
Sn 118.71 Sn.upf
ATOMIC_POSITIONS crystal
La 0.000 0.000 0.000
Tm 0.500 0.500 0.500
Cd 0.250 0.250 0.250
Sn 0.750 0.750 0.750
CELL_PARAMETERS angstrom
0.000 3.815 3.815
3.815 0.000 3.815
3.815 3.815 0.000
! - Symmetry: F-43m
! - Volume: 27.77 Å³/atom
! - E_tot: -4.084 eV/atom

! TbSc2TcO8 | Alexandria via LeMat-Bulk | GGA-PBE | relaxed; values from VASP
&SYSTEM
  ibrav = 0, nat = 12, ntyp = 4
/
ATOMIC_SPECIES
Tb 158.93 Tb.upf
Sc 44.96 Sc.upf
Tc 98.00 Tc.upf
O 16.00 O.upf
ATOMIC_POSITIONS crystal
Tb 0.000 0.000 0.000
Sc 0.500 0.500 0.243
Sc 0.500 0.500 0.757
Tc 0.000 0.000 0.500
O 0.192 0.192 0.290
O 0.192 0.192 0.710
O 0.278 0.722 0.500
O 0.317 0.683 0.000
O 0.683 0.317 0.000
O 0.722 0.278 0.500
O 0.808 0.808 0.290
O 0.808 0.808 0.710
CELL_PARAMETERS angstrom
3.444 -3.453 0.000
3.444 3.453 0.000
0.000 0.000 6.501
! - Symmetry: Cmmm
! - Volume: 12.88 Å³/atom
! - E_tot: -8.218 eV/atom

! Y2PaPbO8 | Alexandria via LeMat-Bulk | GGA-PBE | relaxed; values from VASP
&SYSTEM
  ibrav = 0, nat = 12, ntyp = 4
/
ATOMIC_SPECIES
Y 88.91 Y.upf
Pa 231.04 Pa.upf
Pb 207.20 Pb.upf
O 16.00 O.upf
ATOMIC_POSITIONS crystal
Y 0.000 0.000 0.249
Y 0.000 0.000 0.751
Pa 0.500 0.500 0.000
Pb 0.500 0.500 0.500
O 0.254 0.000 0.500
O 0.258 0.500 0.757
O 0.259 0.000 0.000
O 0.259 0.500 0.244
O 0.741 0.000 0.000
O 0.741 0.500 0.756
O 0.742 0.500 0.243
O 0.746 0.000 0.500
CELL_PARAMETERS angstrom
5.390 0.000 0.000
0.000 3.790 0.000
-0.019 0.000 7.797
! - Symmetry: P2/m
! - Volume: 13.27 Å³/atom
! - E_tot: -8.172 eV/atom

! LaDy2Er | Alexandria via LeMat-Bulk | GGA-PBE | relaxed; values from VASP
&SYSTEM
  ibrav = 0, nat = 4, ntyp = 3
/
ATOMIC_SPECIES
La 138.91 La.upf
Dy 162.50 Dy.upf
Er 167.26 Er.upf
ATOMIC_POSITIONS crystal
La 0.000 0.000 0.000
Dy 0.000 0.500 0.500
Dy 0.500 0.000 0.500
Er 0.500 0.500 0.000
CELL_PARAMETERS angstrom
5.066 0.000 0.000
0.000 5.066 0.000
0.000 0.000 5.096
! - Energy above the most stable polymorph in this dataset: 0.58 kcal/mol of atoms
! - Symmetry: P4/mmm
! - Volume: 32.69 Å³/atom
! - E_tot: -4.640 eV/atom

Question: Look up the E_tot of the fifth one.
Answer: -8.172 eV/atom

Question: Number 3 is which compound?
Answer: LaTmCdSn

Question: Which value of E_tot does entry 3 give?
Answer: -4.084 eV/atom